NdTm2Al2: optimized geometry, PBE.

abc: 3.6281 5.2068 13.5692
angles: 90.00 97.68 90.00
Last column: nearest neighbours and their distance in Å.
Fractional positions:
1 Nd 0.8562 0.7500 0.7103  6 Al 3.17-3.21, 2 Tm 3.52
2 Nd 0.1438 0.2500 0.2897  6 Al 3.17-3.21, 2 Tm 3.52
3 Tm 0.0469 0.7500 0.0943  8 Al 3.10-3.17
4 Tm 0.9531 0.2500 0.9057  8 Al 3.10-3.17
5 Tm 0.2325 0.7500 0.4660  2 Al 3.08, 4 Tm 3.30
6 Tm 0.7675 0.2500 0.5340  2 Al 3.08, 4 Tm 3.30
7 Al 0.6401 0.7500 0.2813  4 Tm 3.08-3.10, 4 Nd 3.17-3.18
8 Al 0.3599 0.2500 0.7187  4 Tm 3.08-3.10, 4 Nd 3.17-3.18
9 Al 0.4534 0.7500 0.9071  6 Tm 3.10-3.17, 2 Nd 3.21
10 Al 0.5466 0.2500 0.0929  6 Tm 3.10-3.17, 2 Nd 3.21

Summary:
Formation enthalpy at 0 K in eV per atom: -0.29
Energy in eV for the cell shown: -45.264


V2GeC: optimized geometry, PBE.

abc: 4.0644 4.0644 4.0644
angles: 60.00 60.00 60.00
Last column: nearest neighbours and their distance in Å.
Fractional positions:
1 Ge 0.5000 0.5000 0.5000  8 V 2.49
2 C 0.0000 0.0000 0.0000  8 V 2.49
3 V 0.2500 0.2500 0.2500  4 Ge 2.49, 4 C 2.49
4 V 0.7500 0.7500 0.7500  4 Ge 2.49, 4 C 2.49

Summary:
Formation enthalpy at 0 K in eV per atom: 0.68
Energy in eV for the cell shown: -29.354


no.,energy above the lowest structure with this stoichiometry (eV per atom),total magnetic moment (μB per atom)
1,0.000,0.00
2,1.171,0.00